A plane-wave DFT calculation with PBE+U was carried out for a relaxed structure of VCrI2O.

The space group is P4/mmm (No. 123) and the conventional cell measures 5.793, 5.793 and 3.716 Å, with angles of 90.00, 90.00 and 90.00 degrees. The inequivalent atoms are V at (0.000, 0.000, 0.000), Cr at (0.500, 0.500, 0.500), I at (0.000, 0.500, 0.500) and O at (0.500, 0.500, 0.000).

The value obtained for the relative energy among the computed polymorphs is 1.60 eV per formula unit. The density of states at the Fermi level is 0.439 states/eV per atom. The magnetization comes out at 7.0 μB/f.u. The calculated volume is 24.9 Å³ per atom.

---

A plane-wave DFT calculation with PBE+U was carried out for a relaxed structure of VCrI2O.

The space group is P4/mmm (No. 123) and the conventional cell measures 5.751, 5.751 and 3.733 Å, with angles of 90.00, 90.00 and 90.00 degrees. The inequivalent atoms are V at (0.000, 0.000, 0.000), Cr at (0.500, 0.500, 0.500), I at (0.000, 0.500, 0.000) and O at (0.000, 0.000, 0.500).

The value obtained for the relative energy among the computed polymorphs is 0.00 eV per formula unit. The density of states at the Fermi level is 0.423 states/eV per atom. The magnetization comes out at 7.0 μB/f.u. The calculated volume is 24.7 Å³ per atom.

---

A plane-wave DFT calculation with PBE+U was carried out for a relaxed structure of VCrIO2.

The space group is P4/mmm (No. 123) and the conventional cell measures 3.926, 3.926 and 5.585 Å, with angles of 90.00, 90.00 and 90.00 degrees. The inequivalent atoms are V at (0.000, 0.000, 0.000), Cr at (0.500, 0.500, 0.500), I at (0.500, 0.500, 0.000) and O at (0.000, 0.500, 0.500).

The value obtained for the relative energy among the computed polymorphs is 1.94 eV per formula unit. The density of states at the Fermi level is 0.253 states/eV per atom. The magnetization comes out at 6.0 μB/f.u. The calculated volume is 17.2 Å³ per atom.

---

A plane-wave DFT calculation with PBE+U was carried out for a relaxed structure of VCrIO2.

The space group is P4/mmm (No. 123) and the conventional cell measures 3.873, 3.873 and 5.861 Å, with angles of 90.00, 90.00 and 90.00 degrees. The inequivalent atoms are V at (0.000, 0.000, 0.000), Cr at (0.500, 0.500, 0.500), I at (0.000, 0.000, 0.500) and O at (0.000, 0.500, 0.000).

The value obtained for the relative energy among the computed polymorphs is 0.00 eV per formula unit. The density of states at the Fermi level is 0.269 states/eV per atom. The magnetization comes out at 6.0 μB/f.u. The calculated volume is 17.6 Å³ per atom.

---

A plane-wave DFT calculation with PBE+U was carried out for a relaxed structure of VCrIO6.

The space group is P-31c (No. 163) and the conventional cell measures 5.1964, 5.1964 and 8.7357 Å, with angles of 90.00, 90.00 and 120.00 degrees. The inequivalent atoms are V at (0.3333, 0.6667, 0.2500), Cr at (0.0000, 0.0000, 0.0000), I at (0.3333, 0.6667, 0.7500) and O at (0.0132, 0.3433, 0.1277).

The density of states at the Fermi level is 0.340 states/eV per atom. The magnetization comes out at 4.0 μB/f.u. The calculated volume is 11.3 Å³ per atom. The energy comes out at -6.2707 eV/atom.

---

A plane-wave DFT calculation with PBE+U was carried out for a relaxed structure of YCrI2O.

The space group is P4/mmm (No. 123) and the conventional cell measures 6.201, 6.201 and 4.189 Å, with angles of 90.00, 90.00 and 90.00 degrees. The inequivalent atoms are Y at (0.000, 0.000, 0.000), Cr at (0.500, 0.500, 0.500), I at (0.000, 0.500, 0.000) and O at (0.000, 0.000, 0.500).

The value obtained for the relative energy among the computed polymorphs is 0.00 eV per formula unit. The density of states at the Fermi level is 0.184 states/eV per atom. The magnetization comes out at 5.0 μB/f.u. The calculated volume is 32.2 Å³ per atom.

---

- What is the calculated volume in the third record?
  17.2 Å³ per atom

---

- What is the calculated volume in the fifth record?
  11.3 Å³ per atom

---

- Look up the calculated volume of the sixth one.
  32.2 Å³ per atom